# 1
Pu2MgC | PBE | relaxed

Unit cell a=3.3644 b=3.3644 c=9.0019 alpha=90.00 beta=90.00 gamma=119.96
Last column: nearest neighbours and their distance in Å.
Element x y z (fractional)
Pu 0.4659 0.5341 0.3360  3 C 2.44
C 0.1324 0.8676 0.5000  6 Pu 2.44
Mg 0.8019 0.1981 0.0000  6 Mg 3.36-3.37, 6 Pu 3.59-3.60
Pu 0.4659 0.5341 0.6640  3 C 2.44

Summary:
Formation energy from the elements in kcal/mol of atoms: 3.375
Total moment in μB per atom: 2.75
Space-group type: Amm2, No. 38
N(E_F) in states/eV per cell: 10.1

# 2
Pu2MgC | PBE | relaxed

Unit cell a=3.2986 b=3.2986 c=9.8525 alpha=80.36 beta=80.36 gamma=60.00
Last column: nearest neighbours and their distance in Å.
Element x y z (fractional)
Pu 0.8841 0.8841 0.3477  3 C 2.41
Mg 0.0000 0.0000 0.0000  6 Mg 3.30, 2 Pu 3.36
Pu 0.1159 0.1159 0.6523  3 C 2.41
C 0.5000 0.5000 0.5000  6 Pu 2.41

Summary:
Formation energy from the elements in kcal/mol of atoms: 3.005
Total moment in μB per atom: 2.69
Space-group type: R-3m, No. 166
N(E_F) in states/eV per cell: 13.8